[1]
Below is crystalline Li2AsAu2 at its relaxed geometry, with properties calculated at the GGA-PBE level.

Lattice parameters (Å, degrees): 4.785 4.785 9.666 92.57 92.57 47.93
Atoms (fractional coordinates):
Li1 0.054 0.054 0.358
Li2 0.151 0.151 0.047
Li3 0.849 0.849 0.953
Li4 0.946 0.946 0.642
As1 0.238 0.238 0.770
As2 0.762 0.762 0.230
Au1 0.354 0.354 0.438
Au2 0.463 0.463 0.146
Au3 0.537 0.537 0.854
Au4 0.646 0.646 0.562

Crystal system   monoclinic
Electronic total energy   -3.41 eV/atom
DFT formation energy   -403 meV per atom
Offset from the most stable computed form   0 meV/atom

***

[2]
Below is crystalline LiAsAu2 at its relaxed geometry, with properties calculated at the GGA-PBE level.

Lattice parameters (Å, degrees): 2.994 4.101 5.609 90.00 90.00 90.00
Atoms (fractional coordinates):
Li1 0.000 0.000 0.000
As1 0.500 0.500 0.265
Au1 0.000 0.000 0.501
Au2 0.500 0.500 0.790

Crystal system   orthorhombic
Electronic total energy   -3.47 eV/atom
DFT formation energy   -192 meV per atom

***

[3]
Below is crystalline LiAsAu2 at its relaxed geometry, with properties calculated at the GGA-PBE level.

Lattice parameters (Å, degrees): 4.942 4.937 4.152 65.21 65.09 49.70
Atoms (fractional coordinates):
Li1 0.000 0.000 0.000
As1 0.500 0.500 0.500
Au1 0.250 0.250 0.250
Au2 0.750 0.750 0.750

Crystal system   orthorhombic
Electronic total energy   -3.52 eV/atom
DFT formation energy   -244 meV per atom

***

[4]
Below is crystalline LiAsAu2 at its relaxed geometry, with properties calculated at the GGA-PBE level.

Lattice parameters (Å, degrees): 5.067 5.067 5.067 132.84 132.84 68.91
Atoms (fractional coordinates):
Li1 0.000 0.000 0.000
As1 0.250 0.750 0.500
Au1 0.500 0.500 0.000
Au2 0.750 0.250 0.500

Crystal system   tetragonal
Electronic total energy   -3.51 eV/atom
DFT formation energy   -226 meV per atom

***

[5]
Below is crystalline Li3AsAu4 at its relaxed geometry, with properties calculated at the GGA-PBE level.

Lattice parameters (Å, degrees): 4.370 4.370 6.726 90.00 90.00 90.00
Atoms (fractional coordinates):
Li1 0.000 0.000 0.000
Li2 0.000 0.000 0.500
Li3 0.500 0.500 0.000
As1 0.500 0.500 0.500
Au1 0.000 0.500 0.232
Au2 0.000 0.500 0.768
Au3 0.500 0.000 0.232
Au4 0.500 0.000 0.768

Crystal system   tetragonal
Electronic total energy   -3.33 eV/atom
DFT formation energy   -394 meV per atom

***

[6]
Below is crystalline LiAsAu2 at its relaxed geometry, with properties calculated at the GGA-PBE level.

Lattice parameters (Å, degrees): 5.202 5.202 5.202 51.09 51.09 51.09
Atoms (fractional coordinates):
Li1 0.000 0.000 0.000
As1 0.782 0.782 0.782
Au1 0.397 0.397 0.397
Au2 0.596 0.596 0.596

Crystal system   trigonal
Electronic total energy   -3.47 eV/atom
DFT formation energy   -186 meV per atom

***

[7]
Below is crystalline Li4AsAu3 at its relaxed geometry, with properties calculated at the GGA-PBE level.

Lattice parameters (Å, degrees): 3.278 3.278 11.468 90.00 90.00 90.00
Atoms (fractional coordinates):
Li1 0.000 0.000 0.121
Li2 0.000 0.000 0.374
Li3 0.000 0.000 0.626
Li4 0.000 0.000 0.879
As1 0.500 0.500 0.000
Au1 0.500 0.500 0.249
Au2 0.500 0.500 0.500
Au3 0.500 0.500 0.751

Crystal system   tetragonal
Electronic total energy   -3.27 eV/atom
DFT formation energy   -506 meV per atom

***

[8]
Below is crystalline LiAs2Au2 at its relaxed geometry, with properties calculated at the GGA-PBE level.

Lattice parameters (Å, degrees): 7.248 7.248 3.643 90.00 90.00 90.00
Atoms (fractional coordinates):
Li1 0.000 0.000 0.000
Li2 0.500 0.500 0.000
As1 0.161 0.339 0.000
As2 0.339 0.839 0.000
As3 0.661 0.161 0.000
As4 0.839 0.661 0.000
Au1 0.149 0.649 0.500
Au2 0.351 0.149 0.500
Au3 0.649 0.851 0.500
Au4 0.851 0.351 0.500

Crystal system   tetragonal
Electronic total energy   -3.58 eV/atom
DFT formation energy   -28 meV per atom
Offset from the most stable computed form   57 meV/atom

***

[9]
Below is crystalline LiAsAu2 at its relaxed geometry, with properties calculated at the GGA-PBE level.

Lattice parameters (Å, degrees): 2.875 2.875 8.329 90.00 90.00 90.00
Atoms (fractional coordinates):
Li1 0.000 0.000 0.000
As1 0.500 0.500 0.237
Au1 0.000 0.000 0.509
Au2 0.500 0.500 0.778

Crystal system   tetragonal
Electronic total energy   -3.43 eV/atom
DFT formation energy   -147 meV per atom

***

[10]
Below is crystalline LiAsAu2 at its relaxed geometry, with properties calculated at the GGA-PBE level.

Lattice parameters (Å, degrees): 3.413 3.413 5.884 90.00 90.00 90.00
Atoms (fractional coordinates):
Li1 0.000 0.000 0.000
As1 0.000 0.000 0.500
Au1 0.500 0.500 0.239
Au2 0.500 0.500 0.761

Crystal system   tetragonal
Electronic total energy   -3.46 eV/atom
DFT formation energy   -185 meV per atom

***

[11]
Below is crystalline Li4As2Au3 at its relaxed geometry, with properties calculated at the GGA-PBE level.

Lattice parameters (Å, degrees): 4.919 4.919 8.546 107.37 107.37 48.33
Atoms (fractional coordinates):
Li1 0.005 0.005 0.334
Li2 0.333 0.333 0.119
Li3 0.667 0.667 0.881
Li4 0.995 0.995 0.666
As1 0.337 0.337 0.793
As2 0.663 0.663 0.207
Au1 0.000 0.000 0.000
Au2 0.337 0.337 0.444
Au3 0.663 0.663 0.556

Crystal system   monoclinic
Electronic total energy   -3.43 eV/atom
DFT formation energy   -452 meV per atom

***

[12]
Below is crystalline Li6As2Au at its relaxed geometry, with properties calculated at the GGA-PBE level.

Lattice parameters (Å, degrees): 4.439 4.439 8.481 91.61 91.61 59.87
Atoms (fractional coordinates):
Li1 0.004 0.004 0.201
Li2 0.333 0.333 0.916
Li3 0.335 0.335 0.598
Li4 0.665 0.665 0.402
Li5 0.667 0.667 0.084
Li6 0.996 0.996 0.799
As1 0.338 0.338 0.226
As2 0.662 0.662 0.774
Au1 0.000 0.000 0.500

Crystal system   monoclinic
Electronic total energy   -3.21 eV/atom
DFT formation energy   -541 meV per atom

***

[13]
Below is crystalline LiAsAu2 at its relaxed geometry, with properties calculated at the GGA-PBE level.

Lattice parameters (Å, degrees): 4.163 4.163 3.929 90.00 90.00 90.00
Atoms (fractional coordinates):
Li1 0.000 0.000 0.000
As1 0.500 0.500 0.000
Au1 0.000 0.500 0.500
Au2 0.500 0.000 0.500

Crystal system   tetragonal
Electronic total energy   -3.54 eV/atom
DFT formation energy   -262 meV per atom

***

[14]
Below is crystalline LiAs3Au at its relaxed geometry, with properties calculated at the GGA-PBE level.

Lattice parameters (Å, degrees): 4.575 4.575 4.575 90.00 90.00 90.00
Atoms (fractional coordinates):
Li1 0.000 0.000 0.000
As1 0.000 0.000 0.500
As2 0.000 0.500 0.000
As3 0.500 0.000 0.000
Au1 0.500 0.500 0.500

Crystal system   cubic
Electronic total energy   -3.29 eV/atom
DFT formation energy   542 meV per atom
Offset from the most stable computed form   0 meV/atom

***

[15]
Below is crystalline Li3As2Au2 at its relaxed geometry, with properties calculated at the GGA-PBE level.

Lattice parameters (Å, degrees): 9.418 9.418 9.418 161.04 153.35 32.91
Atoms (fractional coordinates):
Li1 0.000 0.000 0.000
Li2 0.300 0.800 0.500
Li3 0.700 0.200 0.500
As1 0.152 0.652 0.500
As2 0.848 0.348 0.500
Au1 0.424 0.424 0.000
Au2 0.576 0.576 0.000

Crystal system   orthorhombic
Electronic total energy   -3.52 eV/atom
DFT formation energy   -434 meV per atom

***

[16]
Below is crystalline LiAsAu2 at its relaxed geometry, with properties calculated at the GGA-PBE level.

Lattice parameters (Å, degrees): 9.273 9.273 9.273 154.34 154.34 36.60
Atoms (fractional coordinates):
Li1 0.000 0.000 0.000
Li2 0.750 0.250 0.500
As1 0.250 0.750 0.500
As2 0.500 0.500 0.000
Au1 0.131 0.625 0.006
Au2 0.375 0.381 0.506
Au3 0.619 0.125 0.994
Au4 0.875 0.869 0.494

Crystal system   tetragonal
Electronic total energy   -3.44 eV/atom
DFT formation energy   -157 meV per atom

***

[17]
Below is crystalline LiAs2Au2 at its relaxed geometry, with properties calculated at the GGA-PBE level.

Lattice parameters (Å, degrees): 7.346 7.346 7.346 149.56 149.56 43.59
Atoms (fractional coordinates):
Li1 0.000 0.000 0.000
As1 0.250 0.750 0.500
As2 0.750 0.250 0.500
Au1 0.404 0.404 0.000
Au2 0.596 0.596 0.000

Crystal system   tetragonal
Electronic total energy   -3.58 eV/atom
DFT formation energy   -29 meV per atom
Offset from the most stable computed form   56 meV/atom

***

[18]
Below is crystalline LiAsAu2 at its relaxed geometry, with properties calculated at the GGA-PBE level.

Lattice parameters (Å, degrees): 4.811 4.811 5.006 97.94 97.94 37.07
Atoms (fractional coordinates):
Li1 0.000 0.000 0.000
As1 0.500 0.500 0.500
Au1 0.250 0.250 0.759
Au2 0.750 0.750 0.241

Crystal system   monoclinic
Electronic total energy   -3.51 eV/atom
DFT formation energy   -228 meV per atom

***

[19]
Below is crystalline NaLi2As2Au at its relaxed geometry, with properties calculated at the GGA-PBE level.

Lattice parameters (Å, degrees): 6.497 6.497 6.497 133.60 133.60 67.71
Atoms (fractional coordinates):
Na1 0.000 0.000 0.000
Li1 0.250 0.750 0.500
Li2 0.750 0.250 0.500
As1 0.275 0.275 0.000
As2 0.725 0.725 0.000
Au1 0.500 0.500 0.000

Crystal system   tetragonal
Electronic total energy   -3.26 eV/atom
DFT formation energy   -311 meV per atom

***

[20]
Below is crystalline NaLiAsAu at its relaxed geometry, with properties calculated at the GGA-PBE level.

Lattice parameters (Å, degrees): 4.651 4.651 4.651 60.00 60.00 60.00
Atoms (fractional coordinates):
Na1 0.000 0.000 0.000
Li1 0.750 0.750 0.750
As1 0.250 0.250 0.250
Au1 0.500 0.500 0.500

Crystal system   cubic
Electronic total energy   -3.18 eV/atom
DFT formation energy   -392 meV per atom